Here is a crystal of TcOs2Ru relaxed with PBEsol from Alexandria. Energies are from meta-GGA SCAN.

Output
Total magnetization, μB/f.u.: 0.0
Energy relative to the elements, eV per formula unit: 2.2
Polymorph energy (0 for the lowest one), meV per atom: 627
Crystal system: orthorhombic

Cell lengths 5.4414, 5.4414, 5.4414 Å; angles 151.12, 131.89, 57.09 degrees
Element x y z (fractional)
Tc1 0.0000 0.0000 0.0000
Os1 0.2751 0.7751 0.5000
Os2 0.7249 0.2249 0.5000
Ru1 0.5000 0.5000 0.0000

Here is a crystal of TcOsRu relaxed with PBEsol from Alexandria. Energies are from meta-GGA SCAN.

Output
Total magnetization, μB/f.u.: 0.0
Energy relative to the elements, eV per formula unit: 0.3
Crystal system: trigonal

Cell lengths 2.6895, 2.6895, 6.6028 Å; angles 90.00, 90.00, 120.00 degrees
Element x y z (fractional)
Tc1 0.0000 0.0000 0.0000
Os1 0.3333 0.6667 0.6673
Ru1 0.6667 0.3333 0.3311

Here is a crystal of TcOs2Ru relaxed with PBEsol from Alexandria. Energies are from meta-GGA SCAN.

Output
Total magnetization, μB/f.u.: 0.0
Energy relative to the elements, eV per formula unit: -0.4
Polymorph energy (0 for the lowest one), meV per atom: 0
Crystal system: orthorhombic

Cell lengths 2.7204, 4.2982, 4.7123 Å; angles 90.00, 90.00, 90.00 degrees
Element x y z (fractional)
Tc1 0.0000 0.0000 0.0000
Os1 0.0000 0.5000 0.6677
Os2 0.5000 0.0000 0.4993
Ru1 0.5000 0.5000 0.1621

Here is a crystal of TeOs2Ru relaxed with PBEsol from Alexandria. Energies are from meta-GGA SCAN.

Output
Total magnetization, μB/f.u.: 0.0
Raw formation energy, meV per atom: 773
Crystal system: tetragonal

Cell lengths 3.9206, 3.9206, 3.9567 Å; angles 90.00, 90.00, 90.00 degrees
Element x y z (fractional)
Te1 0.0000 0.0000 0.0000
Os1 0.0000 0.5000 0.5000
Os2 0.5000 0.0000 0.5000
Ru1 0.5000 0.5000 0.0000

Here is a crystal of Te2OsRu relaxed with PBEsol from Alexandria. Energies are from meta-GGA SCAN.

Output
Total magnetization, μB/f.u.: 0.0
Polymorph energy (0 for the lowest one), meV per atom: 314
Raw formation energy, meV per atom: 876
Crystal system: tetragonal

Cell lengths 5.4275, 5.4275, 5.4275 Å; angles 137.91, 137.91, 61.04 degrees
Element x y z (fractional)
Te1 0.0000 0.0000 0.0000
Te2 0.7500 0.2500 0.5000
Os1 0.5000 0.5000 0.0000
Ru1 0.2500 0.7500 0.5000

Here is a crystal of TeOs2Ru relaxed with PBEsol from Alexandria. Energies are from meta-GGA SCAN.

Output
Total magnetization, μB/f.u.: 0.0
Raw formation energy, meV per atom: 697
Crystal system: trigonal

Cell lengths 8.7307, 8.7307, 8.7307 Å; angles 19.08, 19.08, 19.08 degrees
Element x y z (fractional)
Te1 0.0000 0.0000 0.0000
Os1 0.2461 0.2461 0.2461
Os2 0.4986 0.4986 0.4986
Ru1 0.7491 0.7491 0.7491

Here is a crystal of TeOs2Ru relaxed with PBEsol from Alexandria. Energies are from meta-GGA SCAN.

Output
Total magnetization, μB/f.u.: 1.8
Raw formation energy, meV per atom: 909
Crystal system: monoclinic

Cell lengths 5.5558, 5.5558, 2.8857 Å; angles 104.58, 104.58, 123.00 degrees
Element x y z (fractional)
Te1 0.0000 0.0000 0.0000
Os1 0.0000 0.5000 0.5000
Os2 0.5000 0.0000 0.5000
Ru1 0.5000 0.5000 0.0000

Here is a crystal of Te2Os2Ru relaxed with PBEsol from Alexandria. Energies are from meta-GGA SCAN.

Output
Total magnetization, μB/f.u.: 0.0
Raw formation energy, meV per atom: 1228
Crystal system: tetragonal

Cell lengths 6.3093, 6.3093, 6.3093 Å; angles 141.60, 141.60, 55.43 degrees
Element x y z (fractional)
Te1 0.2500 0.7500 0.5000
Te2 0.7500 0.2500 0.5000
Os1 0.1075 0.1075 0.0000
Os2 0.8925 0.8925 0.0000
Ru1 0.5000 0.5000 0.0000

Here is a crystal of Te2OsRu relaxed with PBEsol from Alexandria. Energies are from meta-GGA SCAN.

Output
Total magnetization, μB/f.u.: 0.0
Polymorph energy (0 for the lowest one), meV per atom: 0
Raw formation energy, meV per atom: 563
Crystal system: monoclinic

Cell lengths 4.4239, 4.4239, 5.5561 Å; angles 102.06, 102.06, 42.49 degrees
Element x y z (fractional)
Te1 0.2494 0.2494 0.2485
Te2 0.7506 0.7506 0.7515
Os1 0.0000 0.0000 0.5000
Ru1 0.5000 0.5000 0.0000

Here is a crystal of TlOs2Ru relaxed with PBEsol from Alexandria. Energies are from meta-GGA SCAN.

Output
Total magnetization, μB/f.u.: 0.0
Energy relative to the elements, eV per formula unit: 3.1
Polymorph energy (0 for the lowest one), meV per atom: 0
Crystal system: monoclinic

Cell lengths 4.7538, 4.7538, 4.9570 Å; angles 99.28, 99.28, 34.49 degrees
Element x y z (fractional)
Tl1 0.0000 0.0000 0.0000
Os1 0.2371 0.2371 0.6915
Os2 0.4950 0.4950 0.5044
Ru1 0.7585 0.7585 0.2541

Here is a crystal of TlOs2Ru relaxed with PBEsol from Alexandria. Energies are from meta-GGA SCAN.

Output
Total magnetization, μB/f.u.: 1.0
Energy relative to the elements, eV per formula unit: 3.6
Polymorph energy (0 for the lowest one), meV per atom: 120
Crystal system: tetragonal

Cell lengths 4.8526, 4.8526, 4.8526 Å; angles 132.35, 132.35, 69.68 degrees
Element x y z (fractional)
Tl1 0.0000 0.0000 0.0000
Os1 0.5000 0.5000 0.0000
Os2 0.7500 0.2500 0.5000
Ru1 0.2500 0.7500 0.5000

Here is a crystal of V2OsRu relaxed with PBEsol from Alexandria. Energies are from meta-GGA SCAN.

Output
Total magnetization, μB/f.u.: 1.5
Energy relative to the elements, eV per formula unit: -1.6
Crystal system: cubic

Cell lengths 4.2135, 4.2135, 4.2135 Å; angles 60.00, 60.00, 60.00 degrees
Element x y z (fractional)
V1 0.2500 0.2500 0.2500
V2 0.7500 0.7500 0.7500
Os1 0.0000 0.0000 0.0000
Ru1 0.5000 0.5000 0.5000

Here is a crystal of OsRuW2 relaxed with PBEsol from Alexandria. Energies are from meta-GGA SCAN.

Output
Total magnetization, μB/f.u.: 0.0
Energy relative to the elements, eV per formula unit: 0.2
Polymorph energy (0 for the lowest one), meV per atom: 0
Crystal system: tetragonal

Cell lengths 4.7196, 4.7196, 4.7196 Å; angles 130.91, 130.91, 71.96 degrees
Element x y z (fractional)
Os1 0.0000 0.0000 0.0000
Ru1 0.5000 0.5000 0.0000
W1 0.2500 0.7500 0.5000
W2 0.7500 0.2500 0.5000

Here is a crystal of OsRuW2 relaxed with PBEsol from Alexandria. Energies are from meta-GGA SCAN.

Output
Total magnetization, μB/f.u.: 0.0
Energy relative to the elements, eV per formula unit: 0.2
Polymorph energy (0 for the lowest one), meV per atom: 3
Crystal system: tetragonal

Cell lengths 3.9170, 3.9170, 3.8300 Å; angles 90.00, 90.00, 90.00 degrees
Element x y z (fractional)
Os1 0.0000 0.0000 0.0000
Ru1 0.5000 0.5000 0.0000
W1 0.0000 0.5000 0.5000
W2 0.5000 0.0000 0.5000

Here is a crystal of OsRuW2 relaxed with PBEsol from Alexandria. Energies are from meta-GGA SCAN.

Output
Total magnetization, μB/f.u.: 0.0
Energy relative to the elements, eV per formula unit: 0.7
Polymorph energy (0 for the lowest one), meV per atom: 119
Crystal system: trigonal

Cell lengths 9.0952, 9.0952, 9.0952 Å; angles 17.44, 17.44, 17.44 degrees
Element x y z (fractional)
Os1 0.0000 0.0000 0.0000
Ru1 0.5000 0.5000 0.5000
W1 0.2495 0.2495 0.2495
W2 0.7505 0.7505 0.7505

Here is a crystal of Os3RuW relaxed with PBEsol from Alexandria. Energies are from meta-GGA SCAN.

Output
Total magnetization, μB/f.u.: 2.8
Energy relative to the elements, eV per formula unit: 13.9
Crystal system: cubic

Cell lengths 4.5194, 4.5194, 4.5194 Å; angles 90.00, 90.00, 90.00 degrees
Element x y z (fractional)
Os1 0.0000 0.0000 0.5000
Os2 0.0000 0.5000 0.0000
Os3 0.5000 0.0000 0.0000
Ru1 0.0000 0.0000 0.0000
W1 0.5000 0.5000 0.5000

Here is a crystal of OsRuW2 relaxed with PBEsol from Alexandria. Energies are from meta-GGA SCAN.

Output
Total magnetization, μB/f.u.: 0.0
Energy relative to the elements, eV per formula unit: 0.3
Polymorph energy (0 for the lowest one), meV per atom: 5
Crystal system: orthorhombic

Cell lengths 2.7653, 3.8404, 5.5317 Å; angles 90.00, 90.00, 90.00 degrees
Element x y z (fractional)
Os1 0.0000 0.0000 0.0000
Ru1 0.0000 0.0000 0.5000
W1 0.5000 0.5000 0.2507
W2 0.5000 0.5000 0.7492

Here is a crystal of Y2OsRu relaxed with PBEsol from Alexandria. Energies are from meta-GGA SCAN.

Output
Total magnetization, μB/f.u.: 0.0
Energy relative to the elements, eV per formula unit: -1.3
Crystal system: orthorhombic

Cell lengths 4.2372, 5.3959, 5.3959 Å; angles 47.17, 90.00, 90.00 degrees
Element x y z (fractional)
Y1 0.0000 0.0000 0.0000
Y2 0.5000 0.2931 0.2931
Os1 0.0000 0.7002 0.7002
Ru1 0.5000 0.5960 0.5960

Here is a crystal of YOs2Ru2 relaxed with PBEsol from Alexandria. Energies are from meta-GGA SCAN.

Output
Total magnetization, μB/f.u.: 0.0
Energy relative to the elements, eV per formula unit: -0.4
Crystal system: tetragonal

Cell lengths 6.0250, 6.0250, 6.0250 Å; angles 140.49, 140.49, 57.11 degrees
Element x y z (fractional)
Y1 0.0000 0.0000 0.0000
Os1 0.3897 0.3897 0.0000
Os2 0.6103 0.6103 0.0000
Ru1 0.2500 0.7500 0.5000
Ru2 0.7500 0.2500 0.5000

Here is a crystal of Y2OsRu relaxed with PBEsol from Alexandria. Energies are from meta-GGA SCAN.

Output
Total magnetization, μB/f.u.: 0.0
Energy relative to the elements, eV per formula unit: 0.9
Crystal system: orthorhombic

Cell lengths 3.1176, 4.4056, 5.6890 Å; angles 90.00, 90.00, 90.00 degrees
Element x y z (fractional)
Y1 0.0000 0.0000 0.0000
Y2 0.5000 0.5000 0.3491
Os1 0.0000 0.0000 0.5303
Ru1 0.5000 0.5000 0.8109